A geometry-optimized MgMn3P structure. Source: Alexandria via LeMat-Bulk, functional GGA-PBE.

```
MgMn3P
1.0
4.375 0.000 0.000
0.000 4.375 0.000
0.000 0.000 4.375
Mg Mn P
1 3 1
Cartesian
0.000 0.000 0.000
0.000 2.187 2.187
2.187 0.000 2.187
2.187 2.187 0.000
2.187 2.187 2.187
```

Calculated values
space group = No. 221
magnetic moment = 9.0 Bohr magnetons per cell
DFT formation energy = 0.120 eV/atom
energy relative to the lowest polymorph listed for this composition = 0 meV/atom